Hf2PtW: relaxed, PBE.

Summary:
The value obtained for the size of the total moment is 0.000 μB per atom. The energy of formation from the pure elements comes out at 0.427 eV/atom. The offset from the most stable computed form is 993 meV/atom. The space group is I-42d (122). Its electronic total energy is -9.298 eV/atom.

abc: 4.157 4.157 9.787
angles: 77.74 77.74 90.00
Fractional positions:
Hf: 0.875 0.873 0.750
Hf: 0.375 0.377 0.750
W: 0.250 0.750 0.500
Pt: 0.750 0.250 0.500
Hf: 0.623 0.125 0.250
Pt: 0.000 0.000 0.000
W: 0.500 0.500 0.000
Hf: 0.127 0.625 0.250

***

YHfPt2W: relaxed, PBE.

Summary:
The value obtained for the size of the total moment is 0.583 μB per atom. The energy of formation from the pure elements comes out at 1.347 eV/atom. The space group is P4/mmm (123). Its electronic total energy is -6.943 eV/atom.

abc: 4.857 5.227 4.857
angles: 90.00 90.00 90.00
Each line ends with the local moment (μB).
Fractional positions:
Hf: 0.000 0.000 0.000  -0.11
Pt: 0.500 0.000 0.000  -0.01
Y: 0.000 0.500 0.000  -0.01
W: 0.500 0.500 0.500  2.42
Pt: 0.000 0.000 0.500  -0.05

***

Hf2ZnPtW: relaxed, PBE.

Summary:
The value obtained for the size of the total moment is 0.000 μB per atom. The energy of formation from the pure elements comes out at 0.979 eV/atom. The space group is P4/mmm (123). Its electronic total energy is -7.056 eV/atom.

abc: 4.838 4.398 4.838
angles: 90.00 90.00 90.00
Fractional positions:
W: 0.500 0.500 0.500
Zn: 0.000 0.000 0.000
Pt: 0.000 0.500 0.000
Hf: 0.500 0.000 0.000
Hf: 0.000 0.000 0.500

***

Y2HfPt: relaxed, PBE.

Summary:
The value obtained for the size of the total moment is 0.501 μB per atom. The energy of formation from the pure elements comes out at -0.174 eV/atom. The offset from the most stable computed form is 8 meV/atom. The space group is Fm-3m (225). Its electronic total energy is -7.405 eV/atom.

abc: 5.104 5.104 5.104
angles: 60.00 60.00 60.00
Each line ends with the local moment (μB).
Fractional positions:
Y: 0.250 0.250 0.250  0.24
Y: 0.750 0.750 0.750  0.24
Hf: 0.000 0.000 0.000  0.90
Pt: 0.500 0.500 0.500  0.03

***

YHfPt2: relaxed, PBE.

Summary:
The value obtained for the size of the total moment is 0.000 μB per atom. The energy of formation from the pure elements comes out at -1.111 eV/atom. The offset from the most stable computed form is 37 meV/atom. The space group is P4/mmm (123). Its electronic total energy is -8.236 eV/atom.

abc: 3.363 3.363 7.120
angles: 90.00 90.00 90.00
Fractional positions:
Pt: 0.000 0.000 0.787
Hf: 0.500 0.500 0.000
Pt: 0.000 0.000 0.213
Y: 0.500 0.500 0.500

***

Y4Hf2Pt: relaxed, PBE.

Summary:
The value obtained for the size of the total moment is 0.020 μB per atom. The energy of formation from the pure elements comes out at 0.340 eV/atom. The space group is I4/mmm (139). Its electronic total energy is -7.061 eV/atom.

abc: 5.545 5.545 8.220
angles: 70.29 70.29 90.00
Fractional positions:
Y: 0.500 0.000 0.000
Y: 0.189 0.189 0.622
Y: 0.000 0.500 0.000
Pt: 0.000 0.000 0.000
Y: 0.811 0.811 0.378
Hf: 0.401 0.401 0.197
Hf: 0.599 0.599 0.803

***

YHfPt: relaxed, PBE.

Summary:
The value obtained for the size of the total moment is 0.000 μB per atom. The energy of formation from the pure elements comes out at -0.876 eV/atom. The space group is P4/nmm (129). Its electronic total energy is -8.362 eV/atom.

abc: 4.609 4.609 6.776
angles: 90.00 90.00 90.00
Fractional positions:
Y: 0.500 0.000 0.128
Hf: 0.000 0.000 0.500
Pt: 0.000 0.500 0.293
Pt: 0.500 0.000 0.707
Y: 0.000 0.500 0.872
Hf: 0.500 0.500 0.500

***

Y3HfPt: relaxed, PBE.

Summary:
The value obtained for the size of the total moment is 0.431 μB per atom. The energy of formation from the pure elements comes out at 0.013 eV/atom. The offset from the most stable computed form is 0 meV/atom. The space group is Pm-3m (221). Its electronic total energy is -7.064 eV/atom.

abc: 5.397 5.397 5.397
angles: 90.00 90.00 90.00
Each line ends with the local moment (μB).
Fractional positions:
Hf: 0.500 0.500 0.500  0.79
Y: 0.500 0.000 0.000  0.13
Y: 0.000 0.000 0.500  0.08
Pt: 0.000 0.000 0.000  0.04
Y: 0.000 0.500 0.000  0.08

***

Y3HfPt12: relaxed, PBE.

Summary:
The value obtained for the size of the total moment is 0.000 μB per atom. The energy of formation from the pure elements comes out at -1.034 eV/atom. The space group is P4/mmm (123). Its electronic total energy is -7.398 eV/atom.

abc: 4.102 4.102 16.420
angles: 90.00 90.00 90.00
Fractional positions:
Pt: 0.000 0.500 0.118
Pt: 0.000 0.500 0.627
Pt: 0.500 0.500 0.246
Pt: 0.500 0.000 0.627
Pt: 0.500 0.000 0.882
Pt: 0.500 0.500 0.500
Pt: 0.000 0.500 0.882
Pt: 0.500 0.000 0.118
Y: 0.000 0.000 0.500
Pt: 0.500 0.500 0.754
Y: 0.000 0.000 0.751
Hf: 0.000 0.000 0.000
Y: 0.000 0.000 0.249
Pt: 0.500 0.500 0.000
Pt: 0.500 0.000 0.373
Pt: 0.000 0.500 0.373

***

Y3HfPt: relaxed, PBE.

Summary:
The value obtained for the size of the total moment is 0.000 μB per atom. The energy of formation from the pure elements comes out at 0.829 eV/atom. The offset from the most stable computed form is 816 meV/atom. The space group is Pm-3m (221). Its electronic total energy is -6.248 eV/atom.

abc: 5.354 5.354 5.354
angles: 90.00 90.00 90.00
Fractional positions:
Y: 0.000 0.500 0.000
Y: 0.000 0.000 0.500
Hf: 0.000 0.000 0.000
Pt: 0.500 0.500 0.500
Y: 0.500 0.000 0.000

***

Y2HfPt9: relaxed, PBE.

Summary:
The value obtained for the size of the total moment is 0.000 μB per atom. The energy of formation from the pure elements comes out at -1.053 eV/atom. The space group is P4/mmm (123). Its electronic total energy is -7.490 eV/atom.

abc: 4.094 4.094 12.288
angles: 90.00 90.00 90.00
Fractional positions:
Hf: 0.000 0.000 0.000
Y: 0.000 0.000 0.333
Pt: 0.000 0.500 0.842
Pt: 0.500 0.500 0.000
Pt: 0.500 0.000 0.158
Pt: 0.500 0.500 0.329
Pt: 0.500 0.000 0.842
Pt: 0.000 0.500 0.500
Pt: 0.000 0.500 0.158
Pt: 0.500 0.500 0.671
Pt: 0.500 0.000 0.500
Y: 0.000 0.000 0.667

***

YHfPt2: relaxed, PBE.

Summary:
The value obtained for the size of the total moment is 0.000 μB per atom. The energy of formation from the pure elements comes out at -1.148 eV/atom. The offset from the most stable computed form is 0 meV/atom. The space group is P2_1/m (11). Its electronic total energy is -8.273 eV/atom.

abc: 4.492 5.728 7.245
angles: 117.79 90.00 90.00
Fractional positions:
Y: 0.250 0.276 0.097
Pt: 0.250 0.725 0.607
Pt: 0.750 0.151 0.780
Hf: 0.750 0.754 0.393
Y: 0.750 0.724 0.903
Hf: 0.250 0.246 0.607
Pt: 0.750 0.275 0.393
Pt: 0.250 0.849 0.220

***

YHfPt6: relaxed, PBE.

Summary:
The value obtained for the size of the total moment is 0.000 μB per atom. The energy of formation from the pure elements comes out at -1.080 eV/atom. The space group is P4/mmm (123). Its electronic total energy is -7.662 eV/atom.

abc: 4.079 4.079 8.159
angles: 90.00 90.00 90.00
Fractional positions:
Pt: 0.500 0.000 0.740
Hf: 0.000 0.000 0.500
Pt: 0.000 0.500 0.740
Pt: 0.000 0.500 0.260
Y: 0.000 0.000 0.000
Pt: 0.500 0.500 0.000
Pt: 0.500 0.000 0.260
Pt: 0.500 0.500 0.500

***

YHfPt3: relaxed, PBE.

Summary:
The value obtained for the size of the total moment is 0.000 μB per atom. The energy of formation from the pure elements comes out at 0.641 eV/atom. The offset from the most stable computed form is 906 meV/atom. The space group is Pm-3m (221). Its electronic total energy is -6.267 eV/atom.

abc: 4.978 4.978 4.978
angles: 90.00 90.00 90.00
Fractional positions:
Hf: 0.500 0.500 0.500
Pt: 0.500 0.000 0.000
Pt: 0.000 0.500 0.000
Y: 0.000 0.000 0.000
Pt: 0.000 0.000 0.500

***

Y5HfPt6: relaxed, PBE.

Summary:
The value obtained for the size of the total moment is 0.000 μB per atom. The energy of formation from the pure elements comes out at -1.169 eV/atom. The space group is C2/m (12). Its electronic total energy is -7.712 eV/atom.

abc: 4.870 6.946 8.587
angles: 66.16 73.63 90.00
Fractional positions:
Pt: 0.150 0.916 0.698
Y: 0.664 0.665 0.670
Pt: 0.150 0.386 0.698
Pt: 0.500 0.777 0.000
Y: 0.329 0.829 0.343
Y: 0.000 0.500 0.000
Pt: 0.850 0.084 0.302
Y: 0.671 0.171 0.657
Y: 0.336 0.335 0.330
Pt: 0.500 0.223 0.000
Hf: 0.000 0.000 0.000
Pt: 0.850 0.614 0.302

***

Y2HfPt: relaxed, PBE.

Summary:
The value obtained for the size of the total moment is 0.000 μB per atom. The energy of formation from the pure elements comes out at -0.182 eV/atom. The offset from the most stable computed form is 0 meV/atom. The space group is I-42d (122). Its electronic total energy is -7.412 eV/atom.

abc: 8.348 8.348 6.616
angles: 50.89 50.89 90.00
Fractional positions:
Y: 0.068 0.625 0.250
Pt: 0.000 0.000 0.000
Pt: 0.750 0.250 0.500
Hf: 0.250 0.750 0.500
Y: 0.875 0.932 0.750
Y: 0.682 0.125 0.250
Hf: 0.500 0.500 0.000
Y: 0.375 0.318 0.750

***

YHfPt3: relaxed, PBE.

Summary:
The value obtained for the size of the total moment is 0.000 μB per atom. The energy of formation from the pure elements comes out at -0.266 eV/atom. The offset from the most stable computed form is 0 meV/atom. The space group is Pm-3m (221). Its electronic total energy is -7.174 eV/atom.

abc: 4.935 4.935 4.935
angles: 90.00 90.00 90.00
Fractional positions:
Pt: 0.000 0.000 0.500
Pt: 0.500 0.000 0.000
Y: 0.500 0.500 0.500
Hf: 0.000 0.000 0.000
Pt: 0.000 0.500 0.000

***

YHfPt2: relaxed, PBE.

Summary:
The value obtained for the size of the total moment is 0.000 μB per atom. The energy of formation from the pure elements comes out at -0.638 eV/atom. The offset from the most stable computed form is 511 meV/atom. The space group is I-42d (122). Its electronic total energy is -7.763 eV/atom.

abc: 7.281 7.281 6.229
angles: 54.23 54.23 90.00
Fractional positions:
Y: 0.250 0.750 0.500
Pt: 0.095 0.625 0.250
Y: 0.500 0.500 0.000
Pt: 0.375 0.345 0.750
Hf: 0.750 0.250 0.500
Hf: 0.000 0.000 0.000
Pt: 0.875 0.905 0.750
Pt: 0.655 0.125 0.250

***

Y2HfZnPt: relaxed, PBE.

Summary:
The value obtained for the size of the total moment is 0.000 μB per atom. The energy of formation from the pure elements comes out at 0.537 eV/atom. The space group is P4/mmm (123). Its electronic total energy is -5.502 eV/atom.

abc: 5.616 4.817 5.616
angles: 90.00 90.00 90.00
Fractional positions:
Y: 0.000 0.000 0.500
Pt: 0.000 0.500 0.000
Hf: 0.000 0.000 0.000
Y: 0.500 0.000 0.000
Zn: 0.500 0.500 0.500

***

YHfZnPt: relaxed, PBE.

Summary:
The value obtained for the size of the total moment is 0.000 μB per atom. The energy of formation from the pure elements comes out at -0.601 eV/atom. The space group is F-43m (216). Its electronic total energy is -6.534 eV/atom.

abc: 4.844 4.844 4.844
angles: 60.00 60.00 60.00
Fractional positions:
Hf: 0.250 0.250 0.250
Zn: 0.000 0.000 0.000
Pt: 0.500 0.500 0.500
Y: 0.750 0.750 0.750